First-principles (PBE) data for crystalline AlMo2Ru at its relaxed geometry, as listed in Alexandria via LeMat-Bulk.

```
AlMo2Ru
1.0
4.496 -1.391 0.000
4.496 1.391 0.000
-0.541 0.000 4.843
Al Mo Ru
1 2 1
Cartesian
0.000 0.000 0.000
4.338 0.000 2.470
6.621 0.000 1.199
1.898 0.000 3.695
```

* formation energy: -0.12 eV per formula unit
* ρ: 8.77 g/cm³

---

First-principles (PBE) data for crystalline Al5MoRu6 at its relaxed geometry, as listed in Alexandria via LeMat-Bulk.

```
Al5MoRu6
1.0
-2.140 3.031 6.393
2.140 -3.031 6.393
2.140 3.031 -6.393
Al Mo Ru
5 1 6
Cartesian
0.000 0.000 0.000
2.140 0.000 2.153
0.000 0.000 4.280
0.000 0.000 8.505
0.000 3.031 4.240
0.000 3.031 0.000
2.140 -1.528 4.261
2.140 1.490 0.000
0.000 1.503 2.131
2.140 1.528 4.261
0.000 1.541 6.393
0.000 4.559 2.131
```

* formation energy: -7.29 eV per formula unit
* ρ: 8.38 g/cm³

---

First-principles (PBE) data for crystalline AlMo2Ru at its relaxed geometry, as listed in Alexandria via LeMat-Bulk.

```
AlMo2Ru
1.0
2.575 -4.235 0.000
2.575 4.235 0.000
0.000 0.000 2.766
Al Mo Ru
1 2 1
Cartesian
0.000 0.000 0.000
1.288 2.117 1.383
1.288 -2.117 1.383
2.575 0.000 0.000
```

* formation energy: -0.21 eV per formula unit
* ρ: 8.81 g/cm³

---

First-principles (PBE) data for crystalline AlMo2Ru2 at its relaxed geometry, as listed in Alexandria via LeMat-Bulk.

```
AlMo2Ru2
1.0
7.544 0.000 0.000
0.000 7.544 0.000
0.000 0.000 2.816
Al Mo Ru
2 4 4
Cartesian
0.000 0.000 0.000
3.772 3.772 0.000
0.924 2.848 0.000
2.848 6.620 0.000
4.696 0.924 0.000
6.620 4.696 0.000
1.281 5.053 1.408
2.492 1.281 1.408
5.053 6.264 1.408
6.264 2.492 1.408
```

* offset from the most stable computed form: 0.129 eV per atom
* formation energy: 0.97 eV per formula unit
* ρ: 8.72 g/cm³

---

First-principles (PBE) data for crystalline AlMoRu2 at its relaxed geometry, as listed in Alexandria via LeMat-Bulk.

```
AlMoRu2
1.0
4.648 -1.505 0.000
4.648 1.505 0.000
-1.399 0.000 4.155
Al Mo Ru
1 1 2
Cartesian
0.000 0.000 0.000
1.331 0.000 2.728
3.953 0.000 2.090
6.658 0.000 0.619
```

* formation energy: -0.90 eV per formula unit
* ρ: 9.28 g/cm³

---

First-principles (PBE) data for crystalline AlMo2Ru at its relaxed geometry, as listed in Alexandria via LeMat-Bulk.

```
AlMo2Ru
1.0
1.573 -2.245 0.000
1.573 2.245 0.000
0.000 0.000 8.561
Al Mo Ru
1 2 1
Cartesian
0.000 0.000 0.000
0.000 0.000 4.139
1.573 0.000 6.366
1.573 0.000 1.991
```

* formation energy: -0.17 eV per formula unit
* ρ: 8.79 g/cm³

---

First-principles (PBE) data for crystalline AlMoRu2 at its relaxed geometry, as listed in Alexandria via LeMat-Bulk.

```
AlMoRu2
1.0
-1.476 2.262 4.288
1.476 -2.262 4.288
1.476 2.262 -4.288
Al Mo Ru
1 1 2
Cartesian
0.000 0.000 0.000
0.000 0.000 4.288
1.476 0.000 2.047
0.000 2.262 2.242
```

* formation energy: -0.63 eV per formula unit
* ρ: 9.43 g/cm³

---

First-principles (PBE) data for crystalline Al2Mo2Ru at its relaxed geometry, as listed in Alexandria via LeMat-Bulk.

```
Al2Mo2Ru
1.0
6.648 0.000 0.000
0.000 6.648 0.000
0.000 0.000 3.381
Al Mo Ru
4 4 2
Cartesian
0.886 2.438 0.000
2.438 5.763 0.000
4.210 0.886 0.000
5.763 4.210 0.000
1.116 4.440 1.691
2.209 1.116 1.691
4.440 5.533 1.691
5.533 2.209 1.691
0.000 0.000 0.000
3.324 3.324 0.000
```

* formation energy: -0.06 eV per formula unit
* ρ: 7.71 g/cm³

---

First-principles (PBE) data for crystalline AlMo2Ru at its relaxed geometry, as listed in Alexandria via LeMat-Bulk.

```
AlMo2Ru
1.0
0.000 3.104 3.104
3.104 0.000 3.104
3.104 3.104 0.000
Al Mo Ru
1 2 1
Cartesian
0.000 0.000 0.000
1.552 1.552 1.552
3.104 3.104 3.104
4.656 4.656 4.656
```

* formation energy: -0.62 eV per formula unit
* ρ: 8.88 g/cm³

---

First-principles (PBE) data for crystalline Al2MoRu2 at its relaxed geometry, as listed in Alexandria via LeMat-Bulk.

```
Al2MoRu2
1.0
7.027 0.000 0.000
0.000 7.027 0.000
0.000 0.000 2.917
Al Mo Ru
4 2 4
Cartesian
0.940 2.574 0.000
2.574 6.087 0.000
4.453 0.940 0.000
6.087 4.453 0.000
0.000 0.000 0.000
3.514 3.514 0.000
1.148 4.662 1.458
2.365 1.148 1.458
4.662 5.879 1.458
5.879 2.365 1.458
```

* offset from the most stable computed form: 0.021 eV per atom
* formation energy: -1.22 eV per formula unit
* ρ: 8.12 g/cm³

---

First-principles (PBE) data for crystalline AlMo2Ru at its relaxed geometry, as listed in Alexandria via LeMat-Bulk.

```
AlMo2Ru
1.0
-1.572 2.103 4.477
1.572 -2.103 4.477
1.572 2.103 -4.477
Al Mo Ru
1 2 1
Cartesian
0.000 0.000 0.000
1.572 0.000 2.265
0.000 2.103 2.212
0.000 0.000 4.477
```

* formation energy: -1.19 eV per formula unit
* ρ: 8.97 g/cm³

---

First-principles (PBE) data for crystalline AlMoRu3 at its relaxed geometry, as listed in Alexandria via LeMat-Bulk.

```
AlMoRu3
1.0
4.628 0.000 0.000
0.000 4.628 0.000
0.000 0.000 4.628
Al Mo Ru
1 1 3
Cartesian
0.000 0.000 0.000
2.314 2.314 2.314
0.000 2.314 2.314
2.314 0.000 2.314
2.314 2.314 0.000
```

* offset from the most stable computed form: 0.334 eV per atom
* formation energy: 7.27 eV per formula unit
* ρ: 7.14 g/cm³